First-principles (PBE-GGA) data for Th3PtRh2 after structural relaxation, as listed in Alexandria via LeMat-Bulk.

Properties
SG: C2/m, No. 12
formation energy: -1.0175 eV per atom
DOS(E_F): 0.58 states/eV per atom

a = 5.8563 Å, b = 7.1836 Å, c = 8.2634 Å
α = 106.80°, β = 90.00°, γ = 114.05°
Positions (direct):
Pt1 0.0000 0.0000 0.7500
Th1 0.5001 0.0000 0.2500
Rh1 0.3353 0.6710 0.4176
Th2 0.4999 0.0000 0.7500
Th3 0.8280 0.6556 0.9140
Th4 0.1724 0.3444 0.5860
Rh2 0.3357 0.6710 0.9177
Rh3 0.6647 0.3290 0.5824
Rh4 0.6643 0.3290 0.0823
Pt2 0.0000 0.0000 0.2500
Th5 0.1720 0.3444 0.0860
Th6 0.8276 0.6556 0.4140